# MgCrN2F GGA+U relaxed
# **M_tot**: 0.591 μB/atom
# **DFT total energy**: -24.34 eV per formula unit
# **Polymorph energy (0 for the lowest one)**: 4.817 eV per formula unit
# **Density of states at the Fermi level**: 0.312 states/eV per atom
data_MgCrN2F
_chemical_formula_sum 'Mg1 Cr1 N2 F1'
_symmetry_space_group_name_H-M 'P 4/m m m'
_symmetry_Int_Tables_number 123
_symmetry_space_group_name_Hall '-P 4 2'
_cell_length_a 4.058
_cell_length_b 4.058
_cell_length_c 3.616
_cell_angle_alpha 90.00
_cell_angle_beta 90.00
_cell_angle_gamma 90.00
loop_
_atom_site_label
_atom_site_fract_x
_atom_site_fract_y
_atom_site_fract_z
Mg1 0.000 0.000 0.000
Cr1 0.500 0.500 0.500
N1 0.000 0.500 0.000
F1 0.000 0.000 0.500